Entry 1:
Below is a relaxed structure of LiCd4Ni, with properties calculated at the PBE level.

space group	No. 216
total DFT energy (no corrections)	-1.69	eV per atom
formation enthalpy at 0 K	202	meV/atom
crystal system	cubic

Structure (extended XYZ):
```
6
Lattice="3.971 -3.913 -0.596 2.398 -2.272 4.530 -1.086 -5.327 1.372" Properties=species:S:1:pos:R:3 pbc="T T T"
Cd 3.182 -5.453 4.259
Cd 1.435 -6.984 2.676
Cd 3.970 -6.275 1.689
Cd 1.979 -4.313 1.988
Ni 0.000 0.000 0.000
Li 3.962 -8.634 3.980
```

Entry 2:
Below is a relaxed structure of Ac2CdIn3Hg4, with properties calculated at the PBE level.

space group	No. 115
total DFT energy (no corrections)	-2.19	eV per atom
formation enthalpy at 0 K	-330	meV/atom
crystal system	tetragonal

Structure (extended XYZ):
```
10
Lattice="4.838 0.000 0.000 0.000 4.838 0.000 0.000 0.000 11.905" Properties=species:S:1:pos:R:3 pbc="T T T"
Hg 2.419 0.000 7.568
Hg 0.000 0.000 0.000
Hg 0.000 2.419 4.337
Hg 2.419 2.419 0.000
In 2.419 0.000 10.319
In 0.000 2.419 1.586
In 0.000 0.000 5.952
Ac 0.000 2.419 9.016
Ac 2.419 0.000 2.888
Cd 2.419 2.419 5.952
```

Entry 3:
Below is a relaxed structure of FeNiAu2, with properties calculated at the PBE level.

space group	No. 122
total DFT energy (no corrections)	-4.76	eV per atom
formation enthalpy at 0 K	441	meV/atom
crystal system	tetragonal

Structure (extended XYZ):
```
8
Lattice="7.054 0.000 0.000 0.000 7.054 0.000 3.527 3.527 2.655" Properties=species:S:1:pos:R:3 pbc="T T T"
Ni 7.054 3.527 1.327
Ni 0.000 0.000 0.000
Fe 3.527 7.054 1.327
Fe 3.527 3.527 0.000
Au 5.290 5.251 1.991
Au 1.724 5.290 0.664
Au 8.817 8.857 1.991
Au 5.330 1.763 0.664
```

Entry 4:
Below is a relaxed structure of CsZrGe2Pd, with properties calculated at the PBE level.

space group	No. 123
total DFT energy (no corrections)	-4.50	eV per atom
formation enthalpy at 0 K	267	meV/atom
crystal system	tetragonal

Structure (extended XYZ):
```
5
Lattice="-4.154 2.198 -2.663 0.311 -3.767 -3.595 -3.438 -3.022 2.869" Properties=species:S:1:pos:R:3 pbc="T T T"
Pd 0.156 -1.884 -1.798
Cs -3.641 -2.296 -1.695
Ge -1.719 -1.511 1.434
Ge -2.077 1.099 -1.332
Zr 0.000 0.000 0.000
```

Entry 5:
Below is a relaxed structure of PmSmDy2Y2, with properties calculated at the PBE level.

space group	No. 58
total DFT energy (no corrections)	-5.00	eV per atom
formation enthalpy at 0 K	266	meV/atom
crystal system	orthorhombic

Structure (extended XYZ):
```
12
Lattice="3.411 0.000 0.000 0.000 6.598 0.000 0.000 0.000 17.854" Properties=species:S:1:pos:R:3 pbc="T T T"
Y 1.705 1.792 5.628
Y 0.000 1.507 14.555
Y 1.705 4.806 12.226
Y 0.000 5.091 3.299
Dy 0.000 1.802 2.647
Dy 1.705 5.101 6.280
Dy 0.000 4.795 15.207
Dy 1.705 1.496 11.574
Sm 0.000 0.000 8.927
Sm 1.705 3.299 0.000
Pm 1.705 3.299 8.927
Pm 0.000 0.000 0.000
```

Entry 6:
Below is a relaxed structure of TaTc3Os, with properties calculated at the PBE level.

space group	No. 221
total DFT energy (no corrections)	-8.63	eV per atom
formation enthalpy at 0 K	2207	meV/atom
crystal system	cubic

Structure (extended XYZ):
```
5
Lattice="4.616 0.000 0.000 0.000 4.616 0.000 0.000 0.000 4.616" Properties=species:S:1:pos:R:3 pbc="T T T"
Ta 0.000 0.000 0.000
Tc 2.308 0.000 0.000
Tc 0.000 2.308 0.000
Tc 0.000 0.000 2.308
Os 2.308 2.308 2.308
```

Entry 7:
Below is a relaxed structure of TbErIrO6, with properties calculated at the PBE level.

space group	No. 163
total DFT energy (no corrections)	-7.53	eV per atom
crystal system	trigonal
raw formation energy	-2.222	eV/atom

Structure (extended XYZ):
```
18
Lattice="5.460 0.000 0.000 -2.730 4.729 0.000 0.000 0.000 9.636" Properties=species:S:1:pos:R:3 pbc="T T T"
O -1.620 3.169 8.332
O -0.795 1.741 6.122
O 3.555 0.182 3.514
O 1.110 1.559 3.514
O 4.350 1.559 1.304
O -0.825 4.547 6.122
O 0.795 1.741 8.332
O 3.525 2.987 3.514
O 1.620 3.169 6.122
O 1.935 2.987 1.304
O 1.906 0.182 1.304
O 0.825 4.547 8.332
Tb 0.000 0.000 0.000
Tb 0.000 0.000 4.818
Ir 2.730 1.576 2.409
Ir 0.000 3.152 7.227
Er 2.730 1.576 7.227
Er 0.000 3.152 2.409
```

Entry 8:
Below is a relaxed structure of ZrFe2W, with properties calculated at the PBE level.

space group	No. 160
total DFT energy (no corrections)	-9.24	eV per atom
formation enthalpy at 0 K	369	meV/atom
crystal system	trigonal

Structure (extended XYZ):
```
4
Lattice="-7.024 -5.726 0.441 -5.463 -7.085 -1.506 -4.956 -7.494 1.260" Properties=species:S:1:pos:R:3 pbc="T T T"
Fe -4.441 -5.169 0.049
Fe -17.259 -20.091 0.192
Zr -12.995 -15.128 0.145
W -8.913 -10.376 0.099
```

Entry 9:
Below is a relaxed structure of Na3Tl5Se12, with properties calculated at the PBE level.

space group	No. 230
total DFT energy (no corrections)	-3.00	eV per atom
crystal system	cubic
raw formation energy	-0.119	eV/atom

Structure (extended XYZ):
```
80
Lattice="14.499 0.000 0.000 -4.833 13.670 0.000 -4.833 -6.835 11.838" Properties=species:S:1:pos:R:3 pbc="T T T"
Se 9.714 -3.245 7.521
Se -3.016 7.633 9.153
Se 3.016 1.491 3.886
Se 0.048 4.719 4.969
Se 2.369 8.951 4.969
Se 2.017 -1.799 10.888
Se 5.233 -1.723 10.755
Se -4.785 5.361 11.186
Se 2.464 -2.116 6.869
Se -5.785 3.717 8.605
Se 6.650 7.528 6.571
Se 9.618 1.474 0.652
Se -2.464 3.245 7.521
Se -3.881 11.494 1.602
Se 4.233 -1.491 3.886
Se -2.464 -5.361 11.186
Se -0.600 0.798 2.685
Se -1.465 4.659 10.236
Se 4.785 2.116 6.869
Se 6.298 10.552 3.234
Se 10.066 6.758 2.034
Se -1.817 -0.693 5.267
Se 1.817 5.344 7.953
Se -1.465 -3.717 8.605
Se 8.714 -4.659 10.236
Se 5.785 -0.942 7.002
Se 1.465 0.942 7.002
Se -0.400 8.558 1.083
Se 2.816 8.634 0.950
Se 0.600 8.325 7.953
Se 5.233 1.799 10.888
Se -0.400 5.035 0.950
Se -4.233 6.142 6.571
Se 3.368 5.893 4.836
Se 6.298 2.176 1.602
Se 7.849 -0.798 2.685
Se 9.066 0.693 5.267
Se -4.881 10.080 4.317
Se 7.297 3.590 4.317
Se -2.017 -0.077 9.805
Se 2.017 1.723 10.755
Se -5.233 0.077 9.805
Se 5.433 6.037 9.153
Se 2.816 5.112 1.083
Se 7.297 12.196 0.652
Se -0.952 7.777 4.836
Se 6.850 6.912 2.034
Se 10.618 3.118 3.234
Na 6.041 0.854 4.439
Na 8.458 9.398 1.480
Na -1.208 5.981 7.399
Na -3.625 -2.563 10.359
Na -6.041 6.835 8.879
Na 3.625 7.689 7.399
Na -3.625 2.563 10.359
Na 1.208 -0.854 4.439
Na 1.208 6.835 2.960
Na 8.458 4.272 1.480
Na 3.625 0.000 8.879
Na 10.874 0.000 2.960
Tl -2.417 -3.417 5.919
Tl -1.208 11.107 1.480
Tl 1.208 -3.417 8.879
Tl 6.041 3.417 8.879
Tl -4.833 3.417 5.919
Tl 3.625 10.252 2.960
Tl 4.833 -3.417 5.919
Tl -2.417 6.835 0.000
Tl 6.041 -4.272 10.359
Tl 6.041 5.981 4.439
Tl -1.208 3.417 2.960
Tl 7.250 0.000 0.000
Tl 4.833 6.835 0.000
Tl -3.625 7.689 4.439
Tl 2.417 3.417 5.919
Tl -1.208 0.854 7.399
Tl 8.458 -0.854 7.399
Tl 3.625 2.563 1.480
Tl 0.000 0.000 0.000
Tl 1.208 4.272 10.359
```

no.,M_tot (μB per atom)
1,0.00
2,0.00
3,0.98
4,0.00
5,0.00
6,0.30
7,0.32
8,1.06
9,0.00